(1)
Entry from Alexandria via LeMat-Bulk: a geometry-optimized Os3Cl structure (PBE).

Geometry as POSCAR:
```
Os3Cl
1.0
2.808 0.000 0.000
0.000 4.009 0.000
-1.390 0.000 5.188
Os Cl
3 1
direct
0.000 0.000 0.000 Os
0.387 0.500 0.750 Os
0.613 0.500 0.250 Os
0.500 0.000 0.500 Cl
```

Values from the calculation:
Symmetry ... P2/m, No. 10
Excess energy over the best structure of this formula in the dataset ... 358 meV per atom



(2)
Entry from Alexandria via LeMat-Bulk: a geometry-optimized MgCoW2 structure (PBE).

Geometry as POSCAR:
```
MgCoW2
1.0
-3.594 3.594 2.548
3.594 -3.594 2.548
3.594 3.594 -2.548
Mg Co W
2 2 4
direct
0.000 0.000 0.000 Mg
0.750 0.250 0.500 Mg
0.250 0.750 0.500 Co
0.500 0.500 0.000 Co
0.178 0.625 0.053 W
0.375 0.428 0.553 W
0.572 0.125 0.947 W
0.875 0.822 0.447 W
```

Values from the calculation:
ΔE_f ... 0.79 eV per atom
Symmetry ... I-42d, No. 122



(3)
Entry from Alexandria via LeMat-Bulk: a geometry-optimized SiBr3 structure (PBE).

Geometry as POSCAR:
```
SiBr3
1.0
1.883 1.087 9.708
-1.883 1.087 9.708
0.000 -2.174 9.708
Si Br
1 3
direct
0.000 0.000 0.000 Si
0.277 0.277 0.277 Br
0.500 0.500 0.500 Br
0.723 0.723 0.723 Br
```

Values from the calculation:
Symmetry ... R-3m, No. 166
Excess energy over the best structure of this formula in the dataset ... 762 meV per atom



(4)
Entry from Alexandria via LeMat-Bulk: a geometry-optimized CeTmPuCd structure (PBE).

Geometry as POSCAR:
```
CeTmPuCd
1.0
0.000 3.768 3.768
3.768 0.000 3.768
3.768 3.768 0.000
Ce Tm Pu Cd
1 1 1 1
direct
0.000 0.000 0.000 Ce
0.500 0.500 0.500 Tm
0.750 0.750 0.750 Pu
0.250 0.250 0.250 Cd
```

Values from the calculation:
ΔE_f ... 0.03 eV per atom
Symmetry ... F-43m, No. 216



(5)
Entry from Alexandria via LeMat-Bulk: a geometry-optimized NaRh3F structure (PBE).

Geometry as POSCAR:
```
NaRh3F
1.0
4.715 0.000 0.000
0.000 4.715 0.000
0.000 0.000 4.715
Na Rh F
1 3 1
direct
0.000 0.000 0.000 Na
0.000 0.000 0.500 Rh
0.000 0.500 0.000 Rh
0.500 0.000 0.000 Rh
0.500 0.500 0.500 F
```

Values from the calculation:
Symmetry ... Pm-3m, No. 221
Excess energy over the best structure of this formula in the dataset ... 1135 meV per atom



(6)
Entry from Alexandria via LeMat-Bulk: a geometry-optimized Nd4HgTe2 structure (PBE).

Geometry as POSCAR:
```
Nd4HgTe2
1.0
-4.707 4.707 4.797
4.707 -4.707 4.797
4.707 4.707 -4.797
Nd Hg Te
8 2 4
direct
0.127 0.017 0.750 Nd
0.128 0.517 0.750 Nd
0.267 0.378 0.250 Nd
0.483 0.233 0.610 Nd
0.622 0.873 0.890 Nd
0.623 0.872 0.390 Nd
0.767 0.377 0.250 Nd
0.983 0.733 0.110 Nd
0.250 0.750 0.500 Hg
0.500 0.500 0.000 Hg
0.375 0.002 0.127 Te
0.752 0.625 0.627 Te
0.875 0.248 0.873 Te
0.998 0.125 0.373 Te
```

Values from the calculation:
DFT total energy ... -4.594 eV/atom
Symmetry ... I-42d, No. 122



(7)
Entry from Alexandria via LeMat-Bulk: a geometry-optimized HgTe2Br structure (PBE).

Geometry as POSCAR:
```
HgTe2Br
1.0
-5.030 5.030 2.688
5.030 -5.030 2.688
5.030 5.030 -2.688
Hg Te Br
2 4 2
direct
0.000 0.000 0.000 Hg
0.750 0.250 0.500 Hg
0.065 0.125 0.440 Te
0.375 0.935 0.060 Te
0.685 0.625 0.560 Te
0.875 0.315 0.940 Te
0.250 0.750 0.500 Br
0.500 0.500 0.000 Br
```

Values from the calculation:
Symmetry ... I-42d, No. 122
Excess energy over the best structure of this formula in the dataset ... 134 meV per atom



(8)
Entry from Alexandria via LeMat-Bulk: a geometry-optimized Y2ReCl structure (PBE).

Geometry as POSCAR:
```
Y2ReCl
1.0
1.845 -2.625 0.000
1.845 2.625 0.000
0.000 0.000 10.694
Y Re Cl
2 1 1
direct
0.000 0.000 0.000 Y
0.500 0.500 0.294 Y
0.000 0.000 0.483 Re
0.500 0.500 0.820 Cl
```

Values from the calculation:
Symmetry ... Cmm2, No. 35
Excess energy over the best structure of this formula in the dataset ... 864 meV per atom